Material: BOs3O
Method: DFT, PBE-GGA
State: relaxed

Cell and atoms, written as POSCAR:
```
BOs3O
1.0
4.0575 0.0000 0.0000
0.0000 4.0575 0.0000
0.0000 0.0000 4.0575
B Os O
1 3 1
Direct
0.0000 0.0000 0.0000 B
0.0000 0.0000 0.5000 Os
0.0000 0.5000 0.0000 Os
0.5000 0.0000 0.0000 Os
0.5000 0.5000 0.5000 O
```

## Properties
- DOS(E_F) (states/eV/f.u.) = 9.72
- mass density (g/cm³) = 14.85
- raw formation energy (eV/atom) = 1.380
- polymorph energy (0 for the lowest one) (kJ per mole of atoms) = 0.0

Material: TbPr15Nd4
Method: DFT, PBE-GGA
State: relaxed

Cell and atoms, written as POSCAR:
```
TbPr15Nd4
1.0
5.2402 0.0000 0.0000
0.0000 5.2402 0.0000
0.0000 0.0000 26.1252
Tb Pr Nd
1 15 4
Direct
0.0000 0.0000 0.0000 Tb
0.0000 0.5000 0.0988 Pr
0.0000 0.5000 0.2994 Pr
0.0000 0.5000 0.5000 Pr
0.0000 0.5000 0.7006 Pr
0.0000 0.5000 0.9012 Pr
0.5000 0.0000 0.0988 Pr
0.5000 0.0000 0.2994 Pr
0.5000 0.0000 0.5000 Pr
0.5000 0.0000 0.7006 Pr
0.5000 0.0000 0.9012 Pr
0.5000 0.5000 0.0000 Pr
0.5000 0.5000 0.1989 Pr
0.5000 0.5000 0.3998 Pr
0.5000 0.5000 0.6002 Pr
0.5000 0.5000 0.8011 Pr
0.0000 0.0000 0.1991 Nd
0.0000 0.0000 0.3997 Nd
0.0000 0.0000 0.6003 Nd
0.0000 0.0000 0.8009 Nd
```

## Properties
- DOS(E_F) (states/eV/f.u.) = 30.13
- mass density (g/cm³) = 6.60
- ΔH_f (0 K) (eV/atom) = 0.012

Look up the DOS(E_F) of the first one.
9.72 states/eV/f.u.